VASP calculation (PBE) on Tm4SnRu after structural relaxation.

Calculated values
E above lowest polymorph: 0 meV per atom

Unit cell a=8.7941 b=13.2039 c=6.0433 alpha=90.00 beta=113.76 gamma=90.00
Space group C2/c (No. 15)
Symmetry-distinct sites (fractional):
Tm: 0.1112 0.1681 0.0648 x8
Tm: 0.2204 0.4295 0.3422 x8
Sn: 0.0000 0.3709 0.7500 x4
Ru: 0.0000 0.0000 0.2500 x4